*i*
Computed, not measured: a PBEsol-optimized structure of LiHfP2O at the SCAN level of DFT.

CIF file:
```
data_LiHfP2O
_cell_length_a 4.4024
_cell_length_b 4.4024
_cell_length_c 3.4524
_cell_angle_alpha 90.00
_cell_angle_beta 90.00
_cell_angle_gamma 90.00
_symmetry_space_group_name_H-M 'P 4/m m m'
_symmetry_Int_Tables_number 123
_symmetry_space_group_name_Hall '-P 4 2'
loop_
_atom_site_label
_atom_site_type_symbol
_atom_site_fract_x
_atom_site_fract_y
_atom_site_fract_z
Li1 Li 0.0000 0.0000 0.0000
Hf1 Hf 0.5000 0.5000 0.5000
P1 P 0.0000 0.5000 0.0000
O1 O 0.0000 0.0000 0.5000
```

---

*ii*
Computed, not measured: a PBEsol-optimized structure of LiHfP2O at the SCAN level of DFT.

CIF file:
```
data_LiHfP2O
_cell_length_a 5.1159
_cell_length_b 5.1159
_cell_length_c 3.9373
_cell_angle_alpha 90.00
_cell_angle_beta 90.00
_cell_angle_gamma 90.00
_symmetry_space_group_name_H-M 'P 4/m m m'
_symmetry_Int_Tables_number 123
_symmetry_space_group_name_Hall '-P 4 2'
loop_
_atom_site_label
_atom_site_type_symbol
_atom_site_fract_x
_atom_site_fract_y
_atom_site_fract_z
Li1 Li 0.0000 0.0000 0.0000
Hf1 Hf 0.5000 0.5000 0.5000
P1 P 0.0000 0.5000 0.5000
O1 O 0.5000 0.5000 0.0000
```

---

Computed energies relative to the best structure, in eV/atom: *i* 0.647; *ii* 0.000

---

*i*
Computed, not measured: a PBEsol-optimized structure of Li2HfPd2 at the SCAN level of DFT.

CIF file:
```
data_Li2HfPd2
_cell_length_a 3.4147
_cell_length_b 3.4147
_cell_length_c 13.5479
_cell_angle_alpha 90.00
_cell_angle_beta 90.00
_cell_angle_gamma 90.00
_symmetry_space_group_name_H-M 'I 4/m m m'
_symmetry_Int_Tables_number 139
_symmetry_space_group_name_Hall '-I 4 2'
loop_
_atom_site_label
_atom_site_type_symbol
_atom_site_fract_x
_atom_site_fract_y
_atom_site_fract_z
Li1 Li 0.0000 0.5000 0.2500
Hf1 Hf 0.0000 0.0000 0.0000
Pd1 Pd 0.0000 0.0000 0.3999
```

---

*ii*
Computed, not measured: a PBEsol-optimized structure of Li2HfPd2 at the SCAN level of DFT.

CIF file:
```
data_Li2HfPd2
_cell_length_a 7.0858
_cell_length_b 7.0858
_cell_length_c 2.8607
_cell_angle_alpha 90.00
_cell_angle_beta 90.00
_cell_angle_gamma 90.00
_symmetry_space_group_name_H-M 'P 4/m b m'
_symmetry_Int_Tables_number 127
_symmetry_space_group_name_Hall '-P 4 2ab'
loop_
_atom_site_label
_atom_site_type_symbol
_atom_site_fract_x
_atom_site_fract_y
_atom_site_fract_z
Li1 Li 0.1086 0.3914 0.0000
Hf1 Hf 0.0000 0.0000 0.0000
Pd1 Pd 0.1914 0.6914 0.5000
```

---

Computed energies relative to the best structure, in eV/atom: *i* 0.000; *ii* 0.034

---

*i*
Computed, not measured: a PBEsol-optimized structure of LiHf2Tc at the SCAN level of DFT.

CIF file:
```
data_LiHf2Tc
_cell_length_a 7.0944
_cell_length_b 7.0944
_cell_length_c 5.6666
_cell_angle_alpha 90.00
_cell_angle_beta 90.00
_cell_angle_gamma 90.00
_symmetry_space_group_name_H-M 'I -4 2 d'
_symmetry_Int_Tables_number 122
_symmetry_space_group_name_Hall 'I -4 2bw'
loop_
_atom_site_label
_atom_site_type_symbol
_atom_site_fract_x
_atom_site_fract_y
_atom_site_fract_z
Li1 Li 0.0000 0.0000 0.0000
Hf1 Hf 0.2445 0.7500 0.6250
Tc1 Tc 0.0000 0.0000 0.5000
```

---

*ii*
Computed, not measured: a PBEsol-optimized structure of LiHf2Tc at the SCAN level of DFT.

CIF file:
```
data_LiHf2Tc
_cell_length_a 6.4755
_cell_length_b 6.4755
_cell_length_c 6.4755
_cell_angle_alpha 90.00
_cell_angle_beta 90.00
_cell_angle_gamma 90.00
_symmetry_space_group_name_H-M 'F m -3 m'
_symmetry_Int_Tables_number 225
_symmetry_space_group_name_Hall '-F 4 2 3'
loop_
_atom_site_label
_atom_site_type_symbol
_atom_site_fract_x
_atom_site_fract_y
_atom_site_fract_z
Li1 Li 0.0000 0.0000 0.0000
Hf1 Hf 0.2500 0.2500 0.2500
Tc1 Tc 0.0000 0.0000 0.5000
```

---

Computed energies relative to the best structure, in eV/atom: *i* 0.626; *ii* 0.000

---

*i*
Computed, not measured: a PBEsol-optimized structure of RbHfMg3 at the SCAN level of DFT.

CIF file:
```
data_RbHfMg3
_cell_length_a 5.7822
_cell_length_b 5.7822
_cell_length_c 5.7822
_cell_angle_alpha 90.00
_cell_angle_beta 90.00
_cell_angle_gamma 90.00
_symmetry_space_group_name_H-M 'P m -3 m'
_symmetry_Int_Tables_number 221
_symmetry_space_group_name_Hall '-P 4 2 3'
loop_
_atom_site_label
_atom_site_type_symbol
_atom_site_fract_x
_atom_site_fract_y
_atom_site_fract_z
Rb1 Rb 0.0000 0.0000 0.0000
Hf1 Hf 0.5000 0.5000 0.5000
Mg1 Mg 0.0000 0.5000 0.5000
```

---

*ii*
Computed, not measured: a PBEsol-optimized structure of RbHfMg3 at the SCAN level of DFT.

CIF file:
```
data_RbHfMg3
_cell_length_a 5.2971
_cell_length_b 5.2971
_cell_length_c 5.2971
_cell_angle_alpha 90.00
_cell_angle_beta 90.00
_cell_angle_gamma 90.00
_symmetry_space_group_name_H-M 'P m -3 m'
_symmetry_Int_Tables_number 221
_symmetry_space_group_name_Hall '-P 4 2 3'
loop_
_atom_site_label
_atom_site_type_symbol
_atom_site_fract_x
_atom_site_fract_y
_atom_site_fract_z
Rb1 Rb 0.0000 0.0000 0.0000
Hf1 Hf 0.5000 0.5000 0.5000
Mg1 Mg 0.0000 0.0000 0.5000
```

---

Computed energies relative to the best structure, in eV/atom: *i* 0.000; *ii* 0.855